Here is HgPt2Cl after structural relaxation from the Alexandria database. Energies are from PBE-GGA.

## Properties
energy relative to the lowest polymorph listed for this composition = 0.212 eV/atom
uncorrected formation energy = 0.3209 eV per atom

Lattice parameters (Å, degrees): 8.5956 8.5956 8.5956 21.06 21.06 21.06
Fractional coordinates of all 4 atoms:
Cl1 0.7500 0.7500 0.7500
Hg1 0.2500 0.2500 0.2500
Pt1 0.0021 0.0021 0.0021
Pt2 0.4979 0.4979 0.4979